{
  "formula": "Si2RuRh",
  "functional": "GGA-PBEsol",
  "state": "relaxed",
  "lattice_angstrom": [[7.709, 0.000, 0.000], [0.000, 2.822, 0.000], [-1.033, 0.000, 4.757]],
  "species": ["Si", "Si", "Si", "Si", "Ru", "Ru", "Rh", "Rh"],
  "fractional_positions": [[0.249, 0.000, 0.243], [0.251, 0.500, 0.757], [0.749, 0.500, 0.243], [0.751, 0.000, 0.757], [0.000, 0.500, 0.000], [0.500, 0.000, 0.000], [0.000, 0.000, 0.500], [0.500, 0.500, 0.500]],
  "e_form_raw_ev_per_atom": -0.56,
  "vol_a3_per_atom": 12.94,
  "density_g_cm3": 8.3,
  "space_group": "C2/m",
  "magmom_total_mub_per_atom": 0.00,
  "final_energy_ev_per_cell": -64.1
}